Record 1
! Cs2Ag2F (GGA-PBE, relaxed); values from VASP
&SYSTEM
  ibrav = 0, nat = 5, ntyp = 3
/
ATOMIC_SPECIES
Cs 132.91 Cs.upf
F 19.00 F.upf
Ag 107.87 Ag.upf
ATOMIC_POSITIONS crystal
Cs 0.750 0.250 0.500
Cs 0.250 0.750 0.500
F 0.000 0.000 0.000
Ag 0.323 0.323 0.353
Ag 0.677 0.677 0.647
CELL_PARAMETERS angstrom
-6.631 -2.200 -0.815
1.195 -1.067 -6.849
-1.618 -5.228 -3.080
! Electronic total energy ... -2.35 eV/atom
! V ... 189.7 Å³/cell
! Space-group type ... I4/mmm
! Crystal system ... tetragonal

Record 2
! K2Na2In3 (GGA-PBE, relaxed); values from VASP
&SYSTEM
  ibrav = 0, nat = 7, ntyp = 3
/
ATOMIC_SPECIES
Na 22.99 Na.upf
K 39.10 K.upf
In 114.82 In.upf
ATOMIC_POSITIONS crystal
Na 0.859 0.020 0.263
Na 0.141 0.980 0.737
K 0.838 0.553 0.770
In 0.571 0.255 0.602
K 0.162 0.447 0.230
In 0.429 0.745 0.398
In 0.500 0.000 0.000
CELL_PARAMETERS angstrom
5.320 0.000 2.028
1.841 5.911 3.163
0.001 -0.192 7.991
! Electronic total energy ... -1.94 eV/atom
! V ... 253.8 Å³/cell
! Energy of formation from the pure elements ... -80 meV/atom
! Space-group type ... C2/m
! Crystal system ... monoclinic

Q: What is the formula in the first record?
A: Cs2Ag2F